Computed, not measured: crystalline FeTeW2 at its relaxed geometry at the PBE level of DFT.

Lattice parameters (Å, degrees): 5.1634 5.1634 5.1634 142.74 128.59 65.19
With the nearest neighbours (Å) after each atom.
Element x y z (fractional)
1 Fe 0.4951 0.4951 0.0000  2 Te 2.62, 6 W 2.72-2.78
2 Te 0.2609 0.7609 0.5000  2 Fe 2.62, 6 W 2.79-2.80
3 W 0.0009 0.0009 0.0000  4 Fe 2.78, 4 W 2.78-3.08, 4 Te 2.80-3.06
4 W 0.7431 0.2431 0.5000  2 Fe 2.72, 2 W 2.78, 4 Te 2.79

Magnetization (μB per cell): 2.04
Symmetry: Imm2 (44)



Computed, not measured: crystalline FeTeW2 at its relaxed geometry at the PBE level of DFT.

Lattice parameters (Å, degrees): 4.5573 3.7712 3.7712 90.00 90.00 90.00
With the nearest neighbours (Å) after each atom.
Element x y z (fractional)
1 Fe 0.5000 0.5000 0.0000  4 Te 2.67, 8 W 2.96
2 Te 0.5000 0.0000 0.5000  4 Fe 2.67, 8 W 2.96
3 W 0.0000 0.0000 0.0000  4 W 2.67, 4 Fe 2.96, 4 Te 2.96
4 W 0.0000 0.5000 0.5000  4 W 2.67, 4 Te 2.96, 4 Fe 2.96

Magnetization (μB per cell): 1.21
Symmetry: P4/mmm (123)



Computed, not measured: crystalline FeTeW4 at its relaxed geometry at the PBE level of DFT.

Lattice parameters (Å, degrees): 5.3458 5.3458 5.3458 60.00 60.00 60.00
With the nearest neighbours (Å) after each atom.
Element x y z (fractional)
1 Fe 0.7500 0.7500 0.7500  12 W 3.13, 4 Te 3.27
2 Te 0.0000 0.0000 0.0000  12 W 3.14, 4 Fe 3.27
3 W 0.8699 0.3767 0.3767  6 W 2.64-2.71
4 W 0.3767 0.3767 0.8699  6 W 2.64-2.71
5 W 0.3767 0.8699 0.3767  6 W 2.64-2.71
6 W 0.3767 0.3767 0.3767  6 W 2.64-2.71

Magnetization (μB per cell): 3.37
Symmetry: F-43m (216)



Computed, not measured: crystalline FeTeW2 at its relaxed geometry at the PBE level of DFT.

Lattice parameters (Å, degrees): 5.4087 5.4087 7.2967 68.25 68.25 90.00
With the nearest neighbours (Å) after each atom.
Element x y z (fractional)
1 Te 0.0000 0.0000 0.0000  4 W 2.71
2 Te 0.7500 0.2500 0.5000  4 W 2.71
3 Fe 0.5000 0.5000 0.0000  4 W 2.27
4 Fe 0.2500 0.7500 0.5000  4 W 2.27
5 W 0.5498 0.1250 0.2500  2 Fe 2.27
6 W 0.2002 0.6250 0.2500  2 Fe 2.27
7 W 0.3750 0.4502 0.7500  2 Fe 2.27
8 W 0.8750 0.7998 0.7500  2 Fe 2.27

Magnetization (μB per cell): 0.00
Symmetry: I-42d (122)



Computed, not measured: crystalline FeTeW2 at its relaxed geometry at the PBE level of DFT.

Lattice parameters (Å, degrees): 4.9138 4.9138 4.9138 131.55 131.55 70.94
With the nearest neighbours (Å) after each atom.
Element x y z (fractional)
1 Fe 0.5000 0.5000 0.0000  8 W 2.84-2.85, 4 Te 2.84
2 Te 0.7500 0.2500 0.5000  8 W 2.84-2.85, 4 Fe 2.84
3 W 0.0000 0.0000 0.0000  4 Te 2.84, 4 W 2.84, 4 Fe 2.85
4 W 0.2500 0.7500 0.5000  4 W 2.84, 4 Fe 2.84, 4 Te 2.85

Magnetization (μB per cell): 2.68
Symmetry: I-4m2 (119)



Computed, not measured: crystalline Fe3TeW at its relaxed geometry at the PBE level of DFT.

Lattice parameters (Å, degrees): 4.5819 4.5819 4.5819 90.00 90.00 90.00
With the nearest neighbours (Å) after each atom.
Element x y z (fractional)
1 Te 0.5000 0.5000 0.5000  12 Fe 3.24
2 Fe 0.0000 0.5000 0.0000  2 W 2.29
3 Fe 0.0000 0.0000 0.5000  2 W 2.29
4 Fe 0.5000 0.0000 0.0000  2 W 2.29
5 W 0.0000 0.0000 0.0000  6 Fe 2.29

Magnetization (μB per cell): 5.11
Polymorph energy (0 for the lowest one) (kJ/mol of formula units): 0
Symmetry: Pm-3m (221)



Computed, not measured: crystalline Fe3TeW at its relaxed geometry at the PBE level of DFT.

Lattice parameters (Å, degrees): 4.5722 4.5722 4.5722 90.00 90.00 90.00
With the nearest neighbours (Å) after each atom.
Element x y z (fractional)
1 Te 0.0000 0.0000 0.0000  6 Fe 2.29
2 Fe 0.0000 0.5000 0.0000  2 Te 2.29
3 Fe 0.0000 0.0000 0.5000  2 Te 2.29
4 Fe 0.5000 0.0000 0.0000  2 Te 2.29
5 W 0.5000 0.5000 0.5000  12 Fe 3.23

Magnetization (μB per cell): 3.58
Polymorph energy (0 for the lowest one) (kJ/mol of formula units): 184
Symmetry: Pm-3m (221)



Computed, not measured: crystalline FeTeW2 at its relaxed geometry at the PBE level of DFT.

Lattice parameters (Å, degrees): 4.5730 4.5730 3.0972 90.00 90.00 90.00
With the nearest neighbours (Å) after each atom.
Element x y z (fractional)
1 Fe 0.5000 0.0000 0.5000  8 W 2.76
2 Te 0.0000 0.5000 0.5000  8 W 2.76
3 W 0.0000 0.0000 0.0000  4 Te 2.76, 4 Fe 2.76
4 W 0.5000 0.5000 0.0000  4 Fe 2.76, 4 Te 2.76

Magnetization (μB per cell): 1.88
Symmetry: P4/mmm (123)



Computed, not measured: crystalline FeTeW2 at its relaxed geometry at the PBE level of DFT.

Lattice parameters (Å, degrees): 5.1492 5.2277 2.9603 79.46 78.26 115.78
With the nearest neighbours (Å) after each atom.
Element x y z (fractional)
1 Fe 0.0000 0.5000 0.5000  2 Te 2.70, 4 W 2.76, 2 Fe 2.96
2 Te 0.5000 0.5000 0.0000  2 Fe 2.70, 4 W 2.76, 2 Te 2.96
3 W 0.0000 0.0000 0.0000  4 W 2.70-2.96, 2 Fe 2.76, 2 Te 2.76
4 W 0.5000 0.0000 0.5000  4 W 2.70-2.96, 2 Te 2.76, 2 Fe 2.76

Magnetization (μB per cell): 2.01
Symmetry: C2/m (12)



Computed, not measured: crystalline FeTeW2 at its relaxed geometry at the PBE level of DFT.

Lattice parameters (Å, degrees): 4.2886 2.9997 5.2556 76.97 90.00 90.00
With the nearest neighbours (Å) after each atom.
Element x y z (fractional)
1 Fe 0.0000 0.6316 0.4866  3 W 2.50-2.79, 2 Te 2.50
2 Te 0.5000 0.5853 0.7361  2 Fe 2.50, 1 W 2.73
3 W 0.0000 0.0232 0.0132  1 Fe 2.50, 2 W 2.69
4 W 0.5000 0.2599 0.2640  4 W 2.69-3.00, 3 Te 2.73-2.86, 4 Fe 2.79-2.92

Magnetization (μB per cell): 1.43
Symmetry: Pm (6)



Computed, not measured: crystalline FeTeW2 at its relaxed geometry at the PBE level of DFT.

Lattice parameters (Å, degrees): 4.8430 4.8430 4.6881 80.79 80.79 38.19
With the nearest neighbours (Å) after each atom.
Element x y z (fractional)
1 Fe 0.2500 0.2500 0.2500  6 W 2.73-2.76, 4 Te 2.83
2 Te 0.7500 0.7500 0.7500  6 W 2.76-2.98, 4 Fe 2.83
3 W 0.9904 0.9904 0.0350  2 W 2.59, 3 Fe 2.73-2.76, 1 Te 2.76
4 W 0.5096 0.5096 0.4650  2 W 2.59, 3 Fe 2.73-2.76, 1 Te 2.76

Magnetization (μB per cell): 2.01
Symmetry: C2/m (12)



Computed, not measured: crystalline FeTeW2 at its relaxed geometry at the PBE level of DFT.

Lattice parameters (Å, degrees): 4.3463 2.9581 5.3034 77.66 90.00 90.00
With the nearest neighbours (Å) after each atom.
Element x y z (fractional)
1 Fe 0.5000 0.2500 0.2500  4 W 2.69, 2 Te 2.75, 2 Fe 2.96
2 Te 0.5000 0.7500 0.7500  2 Fe 2.75, 4 W 2.77, 2 Te 2.96
3 W 0.0000 0.9922 0.0180  1 W 2.57, 2 Fe 2.69, 2 Te 2.77
4 W 0.0000 0.5078 0.4820  1 W 2.57, 2 Fe 2.69, 2 Te 2.77

Magnetization (μB per cell): 1.84
Symmetry: P2/m (10)



Computed, not measured: crystalline FeTeW2 at its relaxed geometry at the PBE level of DFT.

Lattice parameters (Å, degrees): 3.1156 3.1156 6.7194 90.00 90.00 90.00
With the nearest neighbours (Å) after each atom.
Element x y z (fractional)
1 Fe 0.5000 0.5000 0.2500  8 W 2.65
2 Te 0.5000 0.5000 0.7500  8 W 2.90, 4 Te 3.12
3 W 0.0000 0.0000 0.0300  4 Fe 2.65, 4 Te 2.90, 1 W 2.96
4 W 0.0000 0.0000 0.4700  4 Fe 2.65, 4 Te 2.90, 1 W 2.96

Magnetization (μB per cell): 1.68
Symmetry: P4/mmm (123)



Computed, not measured: crystalline FeTeW2 at its relaxed geometry at the PBE level of DFT.

Lattice parameters (Å, degrees): 4.9302 4.9302 4.6919 71.62 71.62 36.83
With the nearest neighbours (Å) after each atom.
Element x y z (fractional)
1 Fe 0.4985 0.4985 0.4407  5 W 2.53-2.82, 2 Te 2.69
2 Te 0.7672 0.7672 0.7671  2 Fe 2.69, 7 W 2.76-2.91
3 W 0.0096 0.0096 0.9797  2 Fe 2.64, 3 Te 2.76, 1 W 2.93
4 W 0.2247 0.2247 0.3124  3 Fe 2.53-2.82, 2 Te 2.77

Magnetization (μB per cell): 1.27
Symmetry: Cm (8)



In eV per atom, the total DFT energy (no corrections) values for the records above are, in order, -8.75; -8.63; -9.69; -8.06; -8.65; -6.85; -6.47; -8.67; -8.57; -8.71; -8.80; -8.64; -8.77; -8.77.
In eV/atom, the energy relative to the elements, uncorrected values for the records above are, in order, 0.625; 0.745; 0.876; 1.319; 0.727; 1.444; 1.826; 0.704; 0.810; 0.663; 0.574; 0.736; 0.610; 0.606.